1.
DFT (PBE) results for DyNiGe2 after structural relaxation.

Lattice parameters (Å, degrees): 5.6318 5.6318 5.6318 41.79 41.79 41.79
Last column: nearest neighbours and their distance in Å.
Sites, in units of the cell vectors:
Dy 0.0000 0.0000 0.0000  6 Ge 2.92
Ni 0.5000 0.5000 0.5000  6 Ge 2.45
Ge 0.2185 0.2185 0.2185  3 Ni 2.45
Ge 0.7815 0.7815 0.7815  3 Ni 2.45

Summary:
Its energy relative to the elements is -0.6449 eV/atom. The value obtained for the total energy is -5.55 eV/atom.

2.
DFT (PBE) results for La2FePt after structural relaxation.

Lattice parameters (Å, degrees): 7.7866 7.7866 7.7866 31.37 31.37 31.37
Last column: nearest neighbours and their distance in Å.
Sites, in units of the cell vectors:
La 0.0000 0.0000 0.0000  3 Pt 3.12, 3 Fe 3.13
La 0.1767 0.1767 0.1767  3 Fe 3.12, 3 Pt 3.13
Fe 0.7552 0.7552 0.7552  3 Pt 2.43
Pt 0.4215 0.4215 0.4215  3 Fe 2.43

Summary:
Its energy relative to the elements is -0.3799 eV/atom. The value obtained for the total energy is -6.47 eV/atom.

3.
DFT (PBE) results for MgTi2VB after structural relaxation.

Lattice parameters (Å, degrees): 4.3357 4.3357 4.3495 90.00 90.00 90.00
Last column: nearest neighbours and their distance in Å.
Sites, in units of the cell vectors:
Mg 0.0000 0.0000 0.0000  2 B 2.17
Ti 0.0000 0.5000 0.5000  2 B 2.17
Ti 0.5000 0.0000 0.5000  2 B 2.17
V 0.5000 0.5000 0.0000  4 Mg 3.07, 8 Ti 3.07
B 0.0000 0.0000 0.5000  4 Ti 2.17, 2 Mg 2.17

Summary:
Its energy relative to the elements is 0.3276 eV/atom. The value obtained for the total energy is -6.31 eV/atom.

4.
DFT (PBE) results for NaY2Ti after structural relaxation.

Lattice parameters (Å, degrees): 5.3869 5.3869 5.3869 60.00 60.00 60.00
Last column: nearest neighbours and their distance in Å.
Sites, in units of the cell vectors:
Na 0.0000 0.0000 0.0000  8 Y 3.30
Y 0.2500 0.2500 0.2500  4 Na 3.30, 4 Ti 3.30
Y 0.7500 0.7500 0.7500  4 Ti 3.30, 4 Na 3.30
Ti 0.5000 0.5000 0.5000  8 Y 3.30

Summary:
The calculation puts the energy above the most stable polymorph in this dataset at 0.0 meV per atom. Its energy relative to the elements is 0.4461 eV/atom. The value obtained for the total energy is -5.09 eV/atom.

5.
DFT (PBE) results for TlHgBr2 after structural relaxation.

Lattice parameters (Å, degrees): 8.2292 8.2292 8.2292 150.85 149.51 42.69
Last column: nearest neighbours and their distance in Å.
Sites, in units of the cell vectors:
Tl 0.0000 0.0000 0.0000  4 Br 3.25
Hg 0.7781 0.2781 0.5000  4 Br 3.01
Br 0.3001 0.8001 0.5000  4 Hg 3.01
Br 0.5815 0.5815 0.0000  4 Tl 3.25

Summary:
The calculation puts the energy above the most stable polymorph in this dataset at 62.9 meV per atom. The value obtained for the total energy is -1.96 eV/atom. As for the raw formation energy: -0.458 eV/atom.

6.
DFT (PBE) results for TbSmY6 after structural relaxation.

Lattice parameters (Å, degrees): 6.5665 6.8027 6.9753 119.02 102.92 90.05
Last column: nearest neighbours and their distance in Å.
Sites, in units of the cell vectors:
Tb 0.0000 0.0000 0.0000  2 Sm 3.28, 4 Y 3.39-3.49
Sm 0.5000 0.0000 0.0000  2 Tb 3.28, 4 Y 3.41-3.50
Y 0.2303 0.9057 0.4784  5 Y 3.30-3.66, 1 Sm 3.41
Y 0.2488 0.4534 0.9989  4 Y 3.30-3.35, 1 Tb 3.49, 1 Sm 3.50
Y 0.2677 0.4242 0.5175  5 Y 3.30-3.65, 1 Tb 3.39
Y 0.7323 0.5758 0.4825  5 Y 3.30-3.65, 1 Tb 3.39
Y 0.7512 0.5466 0.0011  4 Y 3.30-3.35, 1 Tb 3.49, 1 Sm 3.50
Y 0.7697 0.0943 0.5216  5 Y 3.30-3.66, 1 Sm 3.41

Summary:
The calculation puts the energy above the most stable polymorph in this dataset at 0.0 meV per atom. Its energy relative to the elements is 0.2028 eV/atom. The value obtained for the total energy is -5.81 eV/atom.

7.
DFT (PBE) results for LiAg3 after structural relaxation.

Lattice parameters (Å, degrees): 5.7983 5.7983 4.7116 90.00 90.00 120.00
Last column: nearest neighbours and their distance in Å.
Sites, in units of the cell vectors:
Li 0.3333 0.6667 0.2500  12 Ag 2.88-2.90
Li 0.6667 0.3333 0.7500  12 Ag 2.88-2.90
Ag 0.1686 0.3371 0.7500  8 Ag 2.87-2.93, 4 Li 2.88-2.90
Ag 0.1686 0.8314 0.7500  8 Ag 2.87-2.93, 4 Li 2.88-2.90
Ag 0.3371 0.1686 0.2500  8 Ag 2.87-2.93, 4 Li 2.88-2.90
Ag 0.6629 0.8314 0.7500  8 Ag 2.87-2.93, 4 Li 2.88-2.90
Ag 0.8314 0.1686 0.2500  8 Ag 2.87-2.93, 4 Li 2.88-2.90
Ag 0.8314 0.6629 0.2500  8 Ag 2.87-2.93, 4 Li 2.88-2.90

Summary:
Its energy relative to the elements is -0.1201 eV/atom. The value obtained for the total energy is -2.74 eV/atom.

8.
DFT (PBE) results for Li3Mg2Pd2 after structural relaxation.

Lattice parameters (Å, degrees): 4.4861 4.4861 6.9686 108.88 108.88 60.00
Last column: nearest neighbours and their distance in Å.
Sites, in units of the cell vectors:
Li 0.0000 0.0000 0.0000  2 Li 2.74, 6 Mg 2.75
Li 0.1417 0.1417 0.4243  4 Li 2.74-2.77, 3 Pd 2.75, 1 Mg 2.79
Li 0.8583 0.8583 0.5757  4 Li 2.74-2.77, 3 Pd 2.75, 1 Mg 2.79
Mg 0.2851 0.2851 0.8557  4 Pd 2.74-2.75, 4 Li 2.75-2.79
Mg 0.7149 0.7149 0.1443  4 Pd 2.74-2.75, 4 Li 2.75-2.79
Pd 0.4273 0.4273 0.2812  4 Mg 2.74-2.75, 3 Li 2.75, 1 Pd 2.83
Pd 0.5727 0.5727 0.7188  4 Mg 2.74-2.75, 3 Li 2.75, 1 Pd 2.83

Summary:
The calculation puts the energy above the most stable polymorph in this dataset at 0.0 meV per atom. Its energy relative to the elements is -0.4155 eV/atom. The value obtained for the total energy is -3.17 eV/atom.

9.
DFT (PBE) results for Sc2ZnFe after structural relaxation.

Lattice parameters (Å, degrees): 3.1903 3.1903 6.6781 90.00 90.00 90.00
Last column: nearest neighbours and their distance in Å.
Sites, in units of the cell vectors:
Sc 0.0000 0.0000 0.2224  4 Fe 2.70, 4 Zn 2.92, 1 Sc 2.97
Sc 0.0000 0.0000 0.7776  4 Fe 2.70, 4 Zn 2.92, 1 Sc 2.97
Zn 0.5000 0.5000 0.5000  8 Sc 2.92, 4 Zn 3.19
Fe 0.5000 0.5000 0.0000  8 Sc 2.70

Summary:
Its energy relative to the elements is -0.2559 eV/atom. The value obtained for the total energy is -5.86 eV/atom.

10.
DFT (PBE) results for TmMg4Ag after structural relaxation.

Lattice parameters (Å, degrees): 9.0620 3.8901 7.8556 90.00 90.00 90.00
Last column: nearest neighbours and their distance in Å.
Sites, in units of the cell vectors:
Tm 0.2500 0.0000 0.0963  1 Ag 3.07, 6 Mg 3.27-3.39
Tm 0.7500 0.0000 0.9037  1 Ag 3.07, 6 Mg 3.27-3.39
Mg 0.0000 0.0000 0.5000  2 Ag 2.78, 4 Mg 3.04
Mg 0.0462 0.5000 0.8157  2 Ag 2.82, 1 Mg 3.01
Mg 0.2500 0.5000 0.4307  2 Ag 2.91, 4 Mg 3.04
Mg 0.4538 0.5000 0.8157  2 Ag 2.82, 1 Mg 3.01
Mg 0.5000 0.0000 0.5000  2 Ag 2.78, 4 Mg 3.04
Mg 0.5462 0.5000 0.1843  2 Ag 2.82, 1 Mg 3.01
Mg 0.7500 0.5000 0.5693  2 Ag 2.91, 4 Mg 3.04
Mg 0.9538 0.5000 0.1843  2 Ag 2.82, 1 Mg 3.01
Ag 0.2500 0.0000 0.7054  8 Mg 2.78-2.91, 1 Tm 3.07
Ag 0.7500 0.0000 0.2946  8 Mg 2.78-2.91, 1 Tm 3.07

Summary:
The calculation puts the energy above the most stable polymorph in this dataset at 0.0 meV per atom. Its energy relative to the elements is -0.1137 eV/atom. The value obtained for the total energy is -2.40 eV/atom.

Copy entry 4 word for word.
DFT (PBE) results for NaY2Ti after structural relaxation.

Lattice parameters (Å, degrees): 5.3869 5.3869 5.3869 60.00 60.00 60.00
Last column: nearest neighbours and their distance in Å.
Sites, in units of the cell vectors:
Na 0.0000 0.0000 0.0000  8 Y 3.30
Y 0.2500 0.2500 0.2500  4 Na 3.30, 4 Ti 3.30
Y 0.7500 0.7500 0.7500  4 Ti 3.30, 4 Na 3.30
Ti 0.5000 0.5000 0.5000  8 Y 3.30

Summary:
The calculation puts the energy above the most stable polymorph in this dataset at 0.0 meV per atom. Its energy relative to the elements is 0.4461 eV/atom. The value obtained for the total energy is -5.09 eV/atom.